(1)
Sn2Pd2Au3 | PBE | optimized geometry

Properties
The uncorrected energy is -4.248 eV/atom. The crystal system is monoclinic. Its energy above the most stable polymorph in this dataset is 0.033 eV/atom. As for the space group: C2/m, No. 12.

Cell and atoms, written as CIF:
```
data_Sn2Pd2Au3
_chemical_formula_sum 'Sn2 Pd2 Au3'
_cell_length_a 4.1529
_cell_length_b 5.2792
_cell_length_c 6.5674
_cell_angle_alpha 97.28
_cell_angle_beta 90.00
_cell_angle_gamma 113.16
_space_group_name_H-M_alt 'P 1'
_space_group_IT_number 1
_space_group_name_Hall 'P 1'
loop_
_atom_site_label
_atom_site_type_symbol
_atom_site_fract_x
_atom_site_fract_y
_atom_site_fract_z
_atom_site_occupancy
Au1 Au 0.6279 0.2558 0.4342 1
Sn1 Sn 0.7984 0.5969 0.8246 1
Au2 Au 0.3721 0.7442 0.5658 1
Pd1 Pd 0.9037 0.8073 0.2521 1
Au3 Au 0.5000 0.0000 0.0000 1
Sn2 Sn 0.2016 0.4031 0.1754 1
Pd2 Pd 0.0963 0.1927 0.7479 1
```

(2)
Sn3Pd4Au2 | PBE | optimized geometry

Properties
The uncorrected energy is -4.640 eV/atom. The crystal system is orthorhombic. As for the space group: Cmce, No. 64.

Cell and atoms, written as CIF:
```
data_Sn3Pd4Au2
_chemical_formula_sum 'Sn6 Pd8 Au4'
_cell_length_a 5.9152
_cell_length_b 8.5720
_cell_length_c 7.4219
_cell_angle_alpha 90.00
_cell_angle_beta 113.48
_cell_angle_gamma 90.00
_space_group_name_H-M_alt 'P 1'
_space_group_IT_number 1
_space_group_name_Hall 'P 1'
loop_
_atom_site_label
_atom_site_type_symbol
_atom_site_fract_x
_atom_site_fract_y
_atom_site_fract_z
_atom_site_occupancy
Sn1 Sn 0.5195 0.2500 0.5390 1
Pd1 Pd 0.8065 0.9890 0.6130 1
Sn2 Sn 0.0195 0.2500 0.5390 1
Au1 Au 0.4037 0.0474 0.8073 1
Au2 Au 0.0963 0.5474 0.1927 1
Pd2 Pd 0.3065 0.5110 0.6130 1
Pd3 Pd 0.8133 0.2500 0.1266 1
Sn3 Sn 0.4805 0.7500 0.4610 1
Pd4 Pd 0.1867 0.7500 0.8734 1
Pd5 Pd 0.3133 0.2500 0.1266 1
Pd6 Pd 0.6935 0.4890 0.3870 1
Sn4 Sn 0.0000 0.0000 0.0000 1
Sn5 Sn 0.5000 0.5000 0.0000 1
Pd7 Pd 0.6867 0.7500 0.8734 1
Pd8 Pd 0.1935 0.0110 0.3870 1
Sn6 Sn 0.9805 0.7500 0.4610 1
Au3 Au 0.9037 0.4526 0.8073 1
Au4 Au 0.5963 0.9526 0.1927 1
```

(3)
SnPd5Au2 | PBE | optimized geometry

Properties
The uncorrected energy is -4.876 eV/atom. The crystal system is tetragonal. Its energy above the most stable polymorph in this dataset is 0.000 eV/atom. As for the space group: I4/mmm, No. 139.

Cell and atoms, written as CIF:
```
data_SnPd5Au2
_chemical_formula_sum 'Sn1 Pd5 Au2'
_cell_length_a 4.1743
_cell_length_b 4.1743
_cell_length_c 8.1537
_cell_angle_alpha 104.83
_cell_angle_beta 104.83
_cell_angle_gamma 90.00
_space_group_name_H-M_alt 'P 1'
_space_group_IT_number 1
_space_group_name_Hall 'P 1'
loop_
_atom_site_label
_atom_site_type_symbol
_atom_site_fract_x
_atom_site_fract_y
_atom_site_fract_z
_atom_site_occupancy
Sn1 Sn 0.0000 0.0000 0.0000 1
Pd1 Pd 0.6221 0.1221 0.2442 1
Pd2 Pd 0.3779 0.8779 0.7558 1
Pd3 Pd 0.1221 0.6221 0.2442 1
Au1 Au 0.2512 0.2512 0.5025 1
Pd4 Pd 0.8779 0.3779 0.7558 1
Pd5 Pd 0.5000 0.5000 0.0000 1
Au2 Au 0.7488 0.7488 0.4975 1
```

(4)
Sn2Pd7Au3 | PBE | optimized geometry

Properties
The uncorrected energy is -4.730 eV/atom. The crystal system is monoclinic. As for the space group: P2/m, No. 10.

Cell and atoms, written as CIF:
```
data_Sn2Pd7Au3
_chemical_formula_sum 'Sn2 Pd7 Au3'
_cell_length_a 4.0775
_cell_length_b 3.9061
_cell_length_c 14.9319
_cell_angle_alpha 113.20
_cell_angle_beta 90.00
_cell_angle_gamma 90.00
_space_group_name_H-M_alt 'P 1'
_space_group_IT_number 1
_space_group_name_Hall 'P 1'
loop_
_atom_site_label
_atom_site_type_symbol
_atom_site_fract_x
_atom_site_fract_y
_atom_site_fract_z
_atom_site_occupancy
Pd1 Pd 0.5000 0.2251 0.1493 1
Pd2 Pd 0.5000 0.7749 0.8507 1
Au1 Au 0.0000 0.8661 0.5780 1
Pd3 Pd 0.5000 0.6335 0.4217 1
Sn1 Sn 0.5000 0.9225 0.2805 1
Pd4 Pd 0.0000 0.2721 0.8492 1
Sn2 Sn 0.5000 0.0775 0.7195 1
Pd5 Pd 0.5000 0.3665 0.5783 1
Au2 Au 0.0000 0.1339 0.4220 1
Pd6 Pd 0.0000 0.7279 0.1508 1
Au3 Au 0.5000 0.5000 0.0000 1
Pd7 Pd 0.0000 0.0000 0.0000 1
```

(5)
Sn8Pd2Au3 | PBE | optimized geometry

Properties
The uncorrected energy is -4.251 eV/atom. The crystal system is monoclinic. As for the space group: P2/m, No. 10.

Cell and atoms, written as CIF:
```
data_Sn8Pd2Au3
_chemical_formula_sum 'Sn8 Pd2 Au3'
_cell_length_a 4.1197
_cell_length_b 8.8434
_cell_length_c 8.8911
_cell_angle_alpha 100.69
_cell_angle_beta 90.00
_cell_angle_gamma 90.00
_space_group_name_H-M_alt 'P 1'
_space_group_IT_number 1
_space_group_name_Hall 'P 1'
loop_
_atom_site_label
_atom_site_type_symbol
_atom_site_fract_x
_atom_site_fract_y
_atom_site_fract_z
_atom_site_occupancy
Au1 Au 0.0000 0.7486 0.2629 1
Sn1 Sn 0.5000 0.0337 0.6732 1
Pd1 Pd 0.5000 0.2520 0.2541 1
Sn2 Sn 0.5000 0.5336 0.1755 1
Pd2 Pd 0.5000 0.7480 0.7459 1
Sn3 Sn 0.5000 0.9663 0.3268 1
Sn4 Sn 0.0000 0.2262 0.0430 1
Au2 Au 0.0000 0.2514 0.7371 1
Sn5 Sn 0.0000 0.6687 0.5503 1
Au3 Au 0.5000 0.0000 0.0000 1
Sn6 Sn 0.0000 0.7738 0.9570 1
Sn7 Sn 0.5000 0.4664 0.8245 1
Sn8 Sn 0.0000 0.3313 0.4497 1
```

(6)
SnPd5Au8 | PBE | optimized geometry

Properties
The uncorrected energy is -4.001 eV/atom. The crystal system is tetragonal. As for the space group: I-4, No. 82.

Cell and atoms, written as CIF:
```
data_SnPd5Au8
_chemical_formula_sum 'Sn1 Pd5 Au8'
_cell_length_a 6.9455
_cell_length_b 6.9455
_cell_length_c 6.9455
_cell_angle_alpha 110.03
_cell_angle_beta 108.36
_cell_angle_gamma 110.03
_space_group_name_H-M_alt 'P 1'
_space_group_IT_number 1
_space_group_name_Hall 'P 1'
loop_
_atom_site_label
_atom_site_type_symbol
_atom_site_fract_x
_atom_site_fract_y
_atom_site_fract_z
_atom_site_occupancy
Au1 Au 0.5210 0.6026 0.2511 1
Pd1 Pd 0.2874 0.0878 0.9765 1
Au2 Au 0.3583 0.2933 0.4282 1
Au3 Au 0.5718 0.9301 0.8651 1
Sn1 Sn 0.2500 0.5000 0.7500 1
Pd2 Pd 0.8887 0.9122 0.1996 1
Pd3 Pd 0.0235 0.3109 0.1113 1
Au4 Au 0.7489 0.2699 0.3515 1
Au5 Au 0.0817 0.7301 0.4790 1
Pd4 Pd 0.8004 0.6891 0.7126 1
Au6 Au 0.1349 0.7067 0.0650 1
Pd5 Pd 0.5000 0.0000 0.5000 1
Au7 Au 0.6485 0.3974 0.9183 1
Au8 Au 0.9350 0.0699 0.6417 1
```

(7)
Sn6PdAu2 | PBE | optimized geometry

Properties
The uncorrected energy is -4.106 eV/atom. The crystal system is monoclinic. As for the space group: C2/m, No. 12.

Cell and atoms, written as CIF:
```
data_Sn6PdAu2
_chemical_formula_sum 'Sn6 Pd1 Au2'
_cell_length_a 4.8663
_cell_length_b 7.1780
_cell_length_c 7.7862
_cell_angle_alpha 79.33
_cell_angle_beta 71.79
_cell_angle_gamma 70.19
_space_group_name_H-M_alt 'P 1'
_space_group_IT_number 1
_space_group_name_Hall 'P 1'
loop_
_atom_site_label
_atom_site_type_symbol
_atom_site_fract_x
_atom_site_fract_y
_atom_site_fract_z
_atom_site_occupancy
Sn1 Sn 0.3701 0.7309 0.5289 1
Sn2 Sn 0.0752 0.1401 0.7096 1
Au1 Au 0.1459 0.7799 0.9284 1
Sn3 Sn 0.7709 0.6016 0.8566 1
Sn4 Sn 0.2291 0.3984 0.1434 1
Pd1 Pd 0.0000 0.5000 0.5000 1
Sn5 Sn 0.6299 0.2691 0.4711 1
Au2 Au 0.8541 0.2201 0.0716 1
Sn6 Sn 0.9248 0.8599 0.2904 1
```

(8)
SnPd7Au4 | PBE | optimized geometry

Properties
The uncorrected energy is -4.441 eV/atom. The crystal system is monoclinic. As for the space group: C2/m, No. 12.

Cell and atoms, written as CIF:
```
data_SnPd7Au4
_chemical_formula_sum 'Sn1 Pd7 Au4'
_cell_length_a 4.9604
_cell_length_b 9.0403
_cell_length_c 5.6359
_cell_angle_alpha 84.20
_cell_angle_beta 63.89
_cell_angle_gamma 74.08
_space_group_name_H-M_alt 'P 1'
_space_group_IT_number 1
_space_group_name_Hall 'P 1'
loop_
_atom_site_label
_atom_site_type_symbol
_atom_site_fract_x
_atom_site_fract_y
_atom_site_fract_z
_atom_site_occupancy
Sn1 Sn 0.0000 0.0000 0.0000 1
Au1 Au 0.5878 0.2302 0.5943 1
Pd1 Pd 0.5000 0.0000 0.0000 1
Pd2 Pd 0.0375 0.6168 0.3081 1
Au2 Au 0.2730 0.3103 0.1438 1
Pd3 Pd 0.1982 0.0827 0.5209 1
Pd4 Pd 0.3444 0.5411 0.7701 1
Pd5 Pd 0.6556 0.4589 0.2299 1
Pd6 Pd 0.9625 0.3832 0.6919 1
Au3 Au 0.7270 0.6897 0.8562 1
Pd7 Pd 0.8018 0.9173 0.4791 1
Au4 Au 0.4122 0.7698 0.4057 1
```

(9)
SnPdAu6 | PBE | optimized geometry

Properties
The uncorrected energy is -3.706 eV/atom. The crystal system is orthorhombic. Its energy above the most stable polymorph in this dataset is 0.000 eV/atom. As for the space group: Amm2, No. 38.

Cell and atoms, written as CIF:
```
data_SnPdAu6
_chemical_formula_sum 'Sn1 Pd1 Au6'
_cell_length_a 4.8671
_cell_length_b 5.9064
_cell_length_c 5.9064
_cell_angle_alpha 120.90
_cell_angle_beta 90.00
_cell_angle_gamma 90.00
_space_group_name_H-M_alt 'P 1'
_space_group_IT_number 1
_space_group_name_Hall 'P 1'
loop_
_atom_site_label
_atom_site_type_symbol
_atom_site_fract_x
_atom_site_fract_y
_atom_site_fract_z
_atom_site_occupancy
Au1 Au 0.0000 0.3371 0.1714 1
Au2 Au 0.5000 0.1662 0.3316 1
Au3 Au 0.0000 0.8304 0.1696 1
Au4 Au 0.0000 0.8286 0.6629 1
Sn1 Sn 0.5000 0.1667 0.8333 1
Au5 Au 0.0000 0.3344 0.6656 1
Au6 Au 0.5000 0.6684 0.8338 1
Pd1 Pd 0.5000 0.6682 0.3318 1
```

(10)
SnPd2Au2 | PBE | optimized geometry

Properties
The uncorrected energy is -4.279 eV/atom. The crystal system is trigonal. Its energy above the most stable polymorph in this dataset is 0.168 eV/atom. As for the space group: R-3m, No. 166.

Cell and atoms, written as CIF:
```
data_SnPd2Au2
_chemical_formula_sum 'Sn1 Pd2 Au2'
_cell_length_a 3.0340
_cell_length_b 3.0340
_cell_length_c 11.7356
_cell_angle_alpha 82.57
_cell_angle_beta 82.57
_cell_angle_gamma 60.00
_space_group_name_H-M_alt 'P 1'
_space_group_IT_number 1
_space_group_name_Hall 'P 1'
loop_
_atom_site_label
_atom_site_type_symbol
_atom_site_fract_x
_atom_site_fract_y
_atom_site_fract_z
_atom_site_occupancy
Sn1 Sn 0.0000 0.0000 0.0000 1
Au1 Au 0.4597 0.4597 0.6208 1
Pd1 Pd 0.7276 0.7276 0.8173 1
Au2 Au 0.5403 0.5403 0.3792 1
Pd2 Pd 0.2724 0.2724 0.1827 1
```

Number 1: D(E_F) 2.6 states/eV/cell. Number 2: D(E_F) 5.8 states/eV/cell. Number 3: D(E_F) 4.4 states/eV/cell. Number 4: D(E_F) 7.0 states/eV/cell. Number 5: D(E_F) 5.4 states/eV/cell. Number 6: D(E_F) 5.3 states/eV/cell. Number 7: D(E_F) 4.1 states/eV/cell. Number 8: D(E_F) 9.1 states/eV/cell. Number 9: D(E_F) 0.9 states/eV/cell. Number 10: D(E_F) 2.0 states/eV/cell.